# PBE with a Hubbard U Ba3MnF6, relaxed
data_Ba3MnF6
_chemical_formula_sum 'Ba3 Mn1 F6'
_cell_length_a 4.209
_cell_length_b 8.006
_cell_length_c 8.319
_cell_angle_alpha 116.76
_cell_angle_beta 103.73
_cell_angle_gamma 93.91
_space_group_name_H-M_alt 'P -1'
_space_group_IT_number 2
loop_
_space_group_symop_operation_xyz
'x,y,z'
'-x,-y,-z'
loop_
_atom_site_label
_atom_site_type_symbol
_atom_site_fract_x
_atom_site_fract_y
_atom_site_fract_z
Ba1 Ba 0.000 0.000 0.000
Ba2 Ba 0.000 0.500 0.500
Ba3 Ba 0.500 0.000 0.500
Mn1 Mn 0.000 0.500 0.000
F1 F 0.105 0.980 0.696
F2 F 0.147 0.647 0.292
F3 F 0.396 0.281 0.316
# D(E_F) = 1.51 states/eV per cell
# energy = -5.477 eV/atom